(1)
A relaxed structure of AcPm2MnN4. Source: Alexandria via LeMat-Bulk, functional PBE.

uncorrected energy = -128.87 eV per cell
uncorrected formation energy = -1.044 eV per atom
density of states at the Fermi level = 0.460 states/eV/atom

Lattice parameters (Å, degrees): 3.558 6.284 12.052 90.00 90.00 106.45
Last column: magnetic moment on the atom in μB.
Fractional positions:
Ac 0.100 0.200 0.750  0.10
Ac 0.900 0.800 0.250  0.10
Pm 0.369 0.738 0.546  0.06
Pm 0.631 0.262 0.046  0.06
Pm 0.631 0.262 0.454  0.06
Pm 0.369 0.738 0.954  0.06
Mn 0.831 0.662 0.750  2.84
Mn 0.169 0.338 0.250  2.84
N 0.268 0.537 0.130  0.04
N 0.732 0.463 0.630  0.04
N 0.732 0.463 0.870  0.04
N 0.268 0.537 0.370  0.04
N 0.000 0.000 0.500  0.04
N 0.000 0.000 0.000  0.04
N 0.415 0.829 0.750  -0.04
N 0.585 0.171 0.250  -0.04

=====

(2)
A relaxed structure of DyHo4Tl7. Source: Alexandria via LeMat-Bulk, functional PBE.

uncorrected energy = -40.66 eV per cell
formation energy = -0.099 eV per atom
density of states at the Fermi level = 0.524 states/eV/atom

Lattice parameters (Å, degrees): 5.656 9.866 7.314 80.99 67.25 73.34
Fractional positions:
Dy 0.000 0.000 0.000
Ho 0.584 0.217 0.615
Ho 0.416 0.783 0.385
Ho 0.719 0.673 0.889
Ho 0.281 0.327 0.111
Tl 0.786 0.896 0.531
Tl 0.214 0.104 0.469
Tl 0.082 0.673 0.163
Tl 0.918 0.327 0.837
Tl 0.366 0.545 0.723
Tl 0.500 0.000 0.000
Tl 0.634 0.455 0.277

=====

(3)
A relaxed structure of PrPaTeAs. Source: Alexandria via LeMat-Bulk, functional PBE.

uncorrected energy = -26.63 eV per cell
uncorrected formation energy = -1.141 eV per atom
density of states at the Fermi level = 1.412 states/eV/atom

Lattice parameters (Å, degrees): 4.173 4.174 8.002 90.00 105.12 120.00
Last column: magnetic moment on the atom in μB.
Fractional positions:
Pr 0.491 0.144 0.650  -0.03
Pa 0.115 0.955 0.086  0.94
Te 0.961 0.378 0.355  -0.02
As 0.311 0.553 0.879  -0.01

=====

(4)
A relaxed structure of Nd8PRu3Br4. Source: Alexandria via LeMat-Bulk, functional PBE.

uncorrected energy = -93.01 eV per cell
uncorrected formation energy = -0.933 eV per atom
density of states at the Fermi level = 0.588 states/eV/atom

Lattice parameters (Å, degrees): 8.309 9.099 8.309 117.19 120.00 90.00
Fractional positions:
Nd 0.236 0.693 0.957
Nd 0.236 0.693 0.472
Nd 0.265 0.295 0.530
Nd 0.721 0.693 0.957
Nd 0.279 0.307 0.043
Nd 0.735 0.705 0.470
Nd 0.764 0.307 0.528
Nd 0.764 0.307 0.043
P 0.000 0.500 0.000
Ru 0.500 0.500 0.000
Ru 0.500 0.500 0.500
Ru 0.000 0.500 0.500
Br 0.500 0.000 0.000
Br 0.500 0.000 0.500
Br 0.000 0.000 0.000
Br 0.000 0.000 0.500

=====

(5)
A relaxed structure of Sr2SbRh. Source: Alexandria via LeMat-Bulk, functional PBE.

uncorrected energy = -17.27 eV per cell
uncorrected formation energy = -0.608 eV per atom
density of states at the Fermi level = 0.883 states/eV/atom

Lattice parameters (Å, degrees): 8.542 8.542 8.542 31.14 31.14 31.14
Fractional positions:
Rh 0.457 0.457 0.457
Sb 0.793 0.793 0.793
Sr 0.042 0.042 0.042
Sr 0.208 0.208 0.208

=====

(6)
A relaxed structure of YClF2. Source: Alexandria via LeMat-Bulk, functional PBE.

uncorrected energy = -25.16 eV per cell
uncorrected formation energy = -3.277 eV per atom
density of states at the Fermi level = 0.000 states/eV/atom

Lattice parameters (Å, degrees): 5.464 5.464 5.464 41.74 41.74 41.74
Fractional positions:
Y 0.500 0.500 0.500
F 0.798 0.798 0.798
F 0.202 0.202 0.202
Cl 0.000 0.000 0.000

=====

(7)
A relaxed structure of Cr2CoHRh. Source: Alexandria via LeMat-Bulk, functional PBE.

uncorrected energy = -36.78 eV per cell
density of states at the Fermi level = 0.786 states/eV/atom

Lattice parameters (Å, degrees): 3.666 3.666 3.742 90.00 90.00 90.00
Last column: magnetic moment on the atom in μB.
Fractional positions:
Co 0.500 0.500 0.500  -0.24
Rh 0.000 0.000 0.500  0.00
H 0.000 0.000 0.000  0.00
Cr 0.000 0.500 0.000  0.43
Cr 0.500 0.000 0.000  0.43

=====

(8)
A relaxed structure of Sm3MgIn3. Source: Alexandria via LeMat-Bulk, functional PBE.

uncorrected energy = -52.10 eV per cell
formation energy = -0.298 eV per atom
density of states at the Fermi level = 0.719 states/eV/atom

Lattice parameters (Å, degrees): 7.501 7.501 7.268 89.99 89.99 90.54
Last column: magnetic moment on the atom in μB.
Fractional positions:
Sm 0.000 0.000 0.746  0.23
Sm 0.499 0.001 0.251  0.05
Sm 0.001 0.499 0.251  0.05
Sm 0.501 0.999 0.749  0.05
Sm 0.999 0.501 0.749  0.05
Sm 0.000 0.000 0.254  0.23
Mg 0.334 0.334 0.998  0.00
Mg 0.666 0.666 0.002  0.00
In 0.278 0.278 0.501  0.00
In 0.305 0.695 0.500  0.00
In 0.695 0.305 0.500  0.00
In 0.265 0.735 0.000  0.00
In 0.735 0.265 0.000  0.00
In 0.722 0.722 0.499  0.00

=====

Among the records above, which one has the lowest density of states at the Fermi level?
YClF2

=====

Please write out number 3 again, unchanged.
A relaxed structure of PrPaTeAs. Source: Alexandria via LeMat-Bulk, functional PBE.

uncorrected energy = -26.63 eV per cell
uncorrected formation energy = -1.141 eV per atom
density of states at the Fermi level = 1.412 states/eV/atom

Lattice parameters (Å, degrees): 4.173 4.174 8.002 90.00 105.12 120.00
Last column: magnetic moment on the atom in μB.
Fractional positions:
Pr 0.491 0.144 0.650  -0.03
Pa 0.115 0.955 0.086  0.94
Te 0.961 0.378 0.355  -0.02
As 0.311 0.553 0.879  -0.01

=====

Which value of density of states at the Fermi level does entry 7 give?
0.786 states/eV/atom